## NaAlCuF6 (PBE)

Data for an optimized crystal structure of NaAlCuF6.

Geometry as POSCAR:
```
NaAlCuF6
1.0
-4.4807 2.2240 -1.2831
0.8242 -4.9757 -1.1101
-3.7467 -2.5526 8.6593
F Al Cu Na
12 2 2 2
direct
0.0316 0.6499 0.8556
0.6499 0.0316 0.3556
0.6499 0.6183 0.1444
0.3817 0.3501 0.3556
0.0316 0.3817 0.6444
0.9684 0.3501 0.1444
0.3817 0.0316 0.1444
0.3501 0.3817 0.8556
0.6183 0.9684 0.8556
0.3501 0.9684 0.6444
0.6183 0.6499 0.6444
0.9684 0.6183 0.3556
0.3333 0.6667 0.7500
0.6667 0.3333 0.2500
0.6667 0.3333 0.7500
0.3333 0.6667 0.2500
0.0000 0.0000 0.0000
0.0000 0.0000 0.5000
```

symmetry	P-31c
mass density	3.35	g/cm3
uncorrected formation energy	-2.705	eV per atom
final energy	-4.97	eV/atom
Fermi-level density of states	0.77	states/eV/atom